Record 1
Density functional theory data (PBE-GGA) for an optimized crystal structure of LaTeIN2.

Calculated values
Raw formation energy: 714 meV/atom

Unit cell a=4.449 b=4.449 c=7.181 alpha=90.00 beta=90.00 gamma=90.00
Space group P4/mmm (No. 123)
Inequivalent atoms, fractional coordinates:
1 La 0.000 0.000 0.000 x1
2 Te 0.000 0.000 0.500 x1
3 I 0.500 0.500 0.500 x1
4 N 0.000 0.500 0.000 x2

Record 2
Density functional theory data (PBE-GGA) for an optimized crystal structure of ErCd4Hg2.

Calculated values
E_form: -0.50 eV/f.u.

Unit cell a=5.528 b=5.856 c=6.289 alpha=103.86 beta=100.14 gamma=112.06
Space group P-1 (No. 2)
Inequivalent atoms, fractional coordinates:
1 Er 0.000 0.000 0.000 x1
2 Cd 0.033 0.588 0.269 x2
3 Cd 0.500 0.500 0.000 x1
4 Cd 0.500 0.500 0.500 x1
5 Hg 0.415 0.969 0.729 x2